P | Crystalline Ac4CoAg2 at its relaxed geometry. Source: Alexandria, functional PBE.

abc: 4.4585 6.7556 8.2458
angles: 101.03 105.69 90.00
Element x y z (fractional)
Ag  0.2335  0.3602  0.4669
Ag  0.7665  0.6398  0.5331
Ac  0.4261  0.7332  0.8522
Ac  0.1503  0.8274  0.3005
Co  0.0000  0.0000  0.0000
Ac  0.5739  0.2668  0.1478
Ac  0.8497  0.1726  0.6995

As for the total moment: 0.00 μB/f.u. As for the density of states at the Fermi level: 0.7148 states/eV per atom.

***

Q | Crystalline Ac4CoAg2 at its relaxed geometry. Source: Alexandria, functional PBE.

abc: 5.4088 5.4088 9.0625
angles: 107.36 107.36 90.00
Element x y z (fractional)
Ac  0.1814  0.1814  0.3627
Ac  0.0000  0.5000  0.0000
Ag  0.3730  0.3730  0.7460
Ac  0.5000  0.0000  0.0000
Ac  0.8186  0.8186  0.6373
Co  0.0000  0.0000  0.0000
Ag  0.6270  0.6270  0.2540

As for the total moment: 0.00 μB/f.u. As for the density of states at the Fermi level: 1.3662 states/eV per atom.

***

Least stable = Q